# 1
Here is an optimized crystal structure of CrBi2F from Alexandria. Energies are from GGA+U.

The space group is I-42d (No. 122) and the conventional cell measures 4.4791, 4.4791 and 20.2705 Å, with angles of 90.00, 90.00 and 90.00 degrees. The asymmetric unit holds Cr at (0.0000, 0.0000, 0.0000), Bi at (0.2476, 0.2500, 0.1250) and F at (0.0000, 0.0000, 0.5000).

The energy above the most stable polymorph in this dataset comes out at 0.1637 eV per atom. The electronic total energy comes out at -4.52 eV/atom. As for the total magnetic moment: 4.6 μB/f.u.

# 2
Here is an optimized crystal structure of VCr2SbF from Alexandria. Energies are from GGA+U.

The space group is P4/mmm (No. 123) and the conventional cell measures 5.0227, 5.0227 and 5.0234 Å, with angles of 90.00, 90.00 and 90.00 degrees. The asymmetric unit holds V at (0.0000, 0.0000, 0.0000), Cr at (0.0000, 0.5000, 0.0000), Sb at (0.0000, 0.0000, 0.5000) and F at (0.5000, 0.5000, 0.5000).

The electronic total energy comes out at -4.87 eV/atom. As for the total magnetic moment: 5.8 μB/f.u.